(1)
{"formula": "BaMn2Os", "functional": "PBE", "state": "relaxed", "lattice": [[2.1115, 1.2191, 5.9157], [-2.1115, 1.2191, 5.9157], [0.0000, -2.4382, 5.9157]], "species": ["Ba", "Mn", "Mn", "Os"], "frac_coords": [[0.0000, 0.0000, 0.0000], [0.1922, 0.1922, 0.1922], [0.8078, 0.8078, 0.8078], [0.5000, 0.5000, 0.5000]], "ef_mev_per_atom": 419, "crystal_system": "trigonal", "e_above_lowest_polymorph_ev_per_atom": 0.0000, "spacegroup": "R-3m, No. 166"}

---

(2)
{"formula": "NaIr2W2", "functional": "PBE", "state": "relaxed", "lattice": [[-2.2848, 2.2848, 4.7586], [2.2848, -2.2848, 4.7586], [2.2848, 2.2848, -4.7586]], "species": ["Na", "Ir", "Ir", "W", "W"], "frac_coords": [[0.0000, 0.0000, 0.0000], [0.2500, 0.7500, 0.5000], [0.7500, 0.2500, 0.5000], [0.3674, 0.3674, 0.0000], [0.6326, 0.6326, 0.0000]], "ef_mev_per_atom": 532, "crystal_system": "tetragonal", "e_above_lowest_polymorph_ev_per_atom": 0.4714, "spacegroup": "I4/mmm, No. 139"}